Record 1
Below is a relaxed structure of Tm2Se, with properties calculated at the PBE-GGA level.

- calculated volume (A^3/atom) = 25.48
- energy (eV for the cell shown) = -56.67
- calculated density (g/cm³) = 9.1

CIF file:
```
data_Tm2Se
_cell_length_a 6.737
_cell_length_b 6.737
_cell_length_c 6.737
_cell_angle_alpha 90.00
_cell_angle_beta 90.00
_cell_angle_gamma 90.00
_space_group_name_H-M_alt 'F m -3 m'
_space_group_IT_number 225
_space_group_name_Hall '-F 4 2 3'
loop_
_atom_site_label
_atom_site_fract_x
_atom_site_fract_y
_atom_site_fract_z
_atom_site_occupancy
Tm1 0.250 0.250 0.250 1
Se1 0.000 0.000 0.000 1
```

Record 2
Below is a relaxed structure of Y6Tm2Se, with properties calculated at the PBE-GGA level.

- calculated volume (A^3/atom) = 29.85
- energy (eV for the cell shown) = -54.54
- calculated density (g/cm³) = 5.9

CIF file:
```
data_Y6Tm2Se
_cell_length_a 9.0840
_cell_length_b 9.0840
_cell_length_c 3.7597
_cell_angle_alpha 90.00
_cell_angle_beta 90.00
_cell_angle_gamma 120.00
_space_group_name_H-M_alt 'P -6 2 m'
_space_group_IT_number 189
_space_group_name_Hall 'P -6 -2'
loop_
_atom_site_label
_atom_site_fract_x
_atom_site_fract_y
_atom_site_fract_z
_atom_site_occupancy
Y1 0.0000 0.2563 0.0000 1
Y2 0.0000 0.6064 0.5000 1
Tm1 0.3333 0.6667 0.0000 1
Se1 0.0000 0.0000 0.5000 1
```

Record 3
Below is a relaxed structure of Y2TmSe3, with properties calculated at the PBE-GGA level.

- calculated volume (A^3/atom) = 23.60
- energy (eV for the cell shown) = -38.23
- calculated density (g/cm³) = 6.8

CIF file:
```
data_Y2TmSe3
_cell_length_a 4.0501
_cell_length_b 4.0501
_cell_length_c 9.9672
_cell_angle_alpha 90.00
_cell_angle_beta 90.00
_cell_angle_gamma 120.00
_space_group_name_H-M_alt 'P -3 m 1'
_space_group_IT_number 164
_space_group_name_Hall '-P 3 2"'
loop_
_atom_site_label
_atom_site_fract_x
_atom_site_fract_y
_atom_site_fract_z
_atom_site_occupancy
Y1 0.3333 0.6667 0.1678 1
Tm1 0.0000 0.0000 0.5000 1
Se1 0.0000 0.0000 0.0000 1
Se2 0.3333 0.6667 0.6610 1
```

Record 4
Below is a relaxed structure of USe2, with properties calculated at the PBE-GGA level.

- calculated volume (A^3/atom) = 24.88
- energy (eV for the cell shown) = -216.62
- calculated density (g/cm³) = 8.8

CIF file:
```
data_USe2
_cell_length_a 10.661
_cell_length_b 10.661
_cell_length_c 6.567
_cell_angle_alpha 90.00
_cell_angle_beta 90.00
_cell_angle_gamma 90.00
_space_group_name_H-M_alt 'P 4/n'
_space_group_IT_number 85
loop_
_space_group_symop_operation_xyz
'x,y,z'
'-x,-y,-z'
'-y+1/2,x,z'
'y+1/2,-x,-z'
'-x+1/2,-y+1/2,z'
'x+1/2,y+1/2,-z'
'y,-x+1/2,z'
'-y,x+1/2,-z'
loop_
_atom_site_label
_atom_site_fract_x
_atom_site_fract_y
_atom_site_fract_z
_atom_site_occupancy
U1 0.091 0.905 0.249 1
U2 0.250 0.250 0.142 1
Se1 0.041 0.163 0.381 1
Se2 0.042 0.337 0.886 1
Se3 0.250 0.750 0.000 1
Se4 0.250 0.750 0.500 1
```

Record 5
Below is a relaxed structure of USe2, with properties calculated at the PBE-GGA level.

- calculated volume (A^3/atom) = 30.11
- energy (eV for the cell shown) = -42.38
- calculated density (g/cm³) = 7.3

CIF file:
```
data_USe2
_cell_length_a 3.8750
_cell_length_b 3.8750
_cell_length_c 13.8935
_cell_angle_alpha 90.00
_cell_angle_beta 90.00
_cell_angle_gamma 120.00
_space_group_name_H-M_alt 'P 63/m m c'
_space_group_IT_number 194
_space_group_name_Hall '-P 6c 2c'
loop_
_atom_site_label
_atom_site_fract_x
_atom_site_fract_y
_atom_site_fract_z
_atom_site_occupancy
U1 0.3333 0.6667 0.2500 1
Se1 0.3333 0.6667 0.6247 1
```

Record 6
Below is a relaxed structure of WSe3, with properties calculated at the PBE-GGA level.

- calculated volume (A^3/atom) = 27.04
- energy (eV for the cell shown) = -96.62
- calculated density (g/cm³) = 6.5

CIF file:
```
data_WSe3
_cell_length_a 6.791
_cell_length_b 5.744
_cell_length_c 12.337
_cell_angle_alpha 90.00
_cell_angle_beta 115.96
_cell_angle_gamma 90.00
_space_group_name_H-M_alt 'P 1 21/c 1'
_space_group_IT_number 14
loop_
_space_group_symop_operation_xyz
'x,y,z'
'-x,-y,-z'
'-x,y+1/2,-z+1/2'
'x,-y+1/2,z+1/2'
loop_
_atom_site_label
_atom_site_fract_x
_atom_site_fract_y
_atom_site_fract_z
_atom_site_occupancy
W1 0.070 0.005 0.266 1
Se1 0.001 0.747 0.587 1
Se2 0.296 0.719 0.403 1
Se3 0.298 0.210 0.740 1
```

Record 7
Below is a relaxed structure of W2Se3, with properties calculated at the PBE-GGA level.

- calculated volume (A^3/atom) = 19.18
- energy (eV for the cell shown) = -74.96
- calculated density (g/cm³) = 10.5

CIF file:
```
data_W2Se3
_cell_length_a 6.467
_cell_length_b 3.333
_cell_length_c 9.159
_cell_angle_alpha 90.00
_cell_angle_beta 103.64
_cell_angle_gamma 90.00
_space_group_name_H-M_alt 'P 1 21/m 1'
_space_group_IT_number 11
loop_
_space_group_symop_operation_xyz
'x,y,z'
'-x,-y,-z'
'-x,y+1/2,-z'
'x,-y+1/2,z'
loop_
_atom_site_label
_atom_site_fract_x
_atom_site_fract_y
_atom_site_fract_z
_atom_site_occupancy
W1 0.103 0.250 0.115 1
W2 0.322 0.250 0.507 1
Se1 0.027 0.750 0.342 1
Se2 0.287 0.750 0.986 1
Se3 0.490 0.750 0.704 1
```

Record 8
Below is a relaxed structure of WSe6, with properties calculated at the PBE-GGA level.

- calculated volume (A^3/atom) = 28.88
- energy (eV for the cell shown) = -101.97
- calculated density (g/cm³) = 5.4

CIF file:
```
data_WSe6
_cell_length_a 7.0504
_cell_length_b 7.0504
_cell_length_c 14.0864
_cell_angle_alpha 90.00
_cell_angle_beta 90.00
_cell_angle_gamma 120.00
_space_group_name_H-M_alt 'R -3'
_space_group_IT_number 148
_space_group_name_Hall '-R 3'
loop_
_atom_site_label
_atom_site_fract_x
_atom_site_fract_y
_atom_site_fract_z
_atom_site_occupancy
W1 0.0000 0.0000 0.0000 1
Se1 0.0053 0.4096 0.5710 1
```

Record 9
Below is a relaxed structure of WSe, with properties calculated at the PBE-GGA level.

- calculated volume (A^3/atom) = 18.44
- energy (eV for the cell shown) = -30.71
- calculated density (g/cm³) = 11.8

CIF file:
```
data_WSe
_cell_length_a 4.0605
_cell_length_b 4.0605
_cell_length_c 5.1653
_cell_angle_alpha 90.00
_cell_angle_beta 90.00
_cell_angle_gamma 120.00
_space_group_name_H-M_alt 'P 63/m m c'
_space_group_IT_number 194
_space_group_name_Hall '-P 6c 2c'
loop_
_atom_site_label
_atom_site_fract_x
_atom_site_fract_y
_atom_site_fract_z
_atom_site_occupancy
W1 0.0000 0.0000 0.0000 1
Se1 0.3333 0.6667 0.2500 1
```

Record 10
Below is a relaxed structure of WSe, with properties calculated at the PBE-GGA level.

- calculated volume (A^3/atom) = 22.79
- energy (eV for the cell shown) = -57.89
- calculated density (g/cm³) = 9.6

CIF file:
```
data_WSe
_cell_length_a 5.671
_cell_length_b 5.671
_cell_length_c 5.671
_cell_angle_alpha 90.00
_cell_angle_beta 90.00
_cell_angle_gamma 90.00
_space_group_name_H-M_alt 'F -4 3 m'
_space_group_IT_number 216
_space_group_name_Hall 'F -4 2 3'
loop_
_atom_site_label
_atom_site_fract_x
_atom_site_fract_y
_atom_site_fract_z
_atom_site_occupancy
W1 0.000 0.000 0.000 1
Se1 0.250 0.250 0.250 1
```

Record 11
Below is a relaxed structure of WSe, with properties calculated at the PBE-GGA level.

- calculated volume (A^3/atom) = 17.86
- energy (eV for the cell shown) = -56.37
- calculated density (g/cm³) = 12.2

CIF file:
```
data_WSe
_cell_length_a 5.228
_cell_length_b 5.228
_cell_length_c 5.228
_cell_angle_alpha 90.00
_cell_angle_beta 90.00
_cell_angle_gamma 90.00
_space_group_name_H-M_alt 'F m -3 m'
_space_group_IT_number 225
_space_group_name_Hall '-F 4 2 3'
loop_
_atom_site_label
_atom_site_fract_x
_atom_site_fract_y
_atom_site_fract_z
_atom_site_occupancy
W1 0.000 0.000 0.000 1
Se1 0.000 0.000 0.500 1
```

Record 12
Below is a relaxed structure of WSe, with properties calculated at the PBE-GGA level.

- calculated volume (A^3/atom) = 16.50
- energy (eV for the cell shown) = -15.38
- calculated density (g/cm³) = 13.2

CIF file:
```
data_WSe
_cell_length_a 3.1215
_cell_length_b 3.1215
_cell_length_c 3.9097
_cell_angle_alpha 90.00
_cell_angle_beta 90.00
_cell_angle_gamma 120.00
_space_group_name_H-M_alt 'P -6 m 2'
_space_group_IT_number 187
_space_group_name_Hall 'P -6 2'
loop_
_atom_site_label
_atom_site_fract_x
_atom_site_fract_y
_atom_site_fract_z
_atom_site_occupancy
W1 0.0000 0.0000 0.0000 1
Se1 0.3333 0.6667 0.5000 1
```